(1)
Compound: Y7In2Hg2
Source: the Alexandria database
Functional: PBE
Structure: relaxed

## Properties
Uncorrected energy (eV per atom): -4.7957
Energy of formation from the pure elements (eV per atom): -0.129
DOS at the Fermi energy (states/eV/atom): 1.14
Space group: Cmmm

```
Y7In2Hg2
1.0
4.0045 -5.6283 0.0000
4.0045 5.6283 0.0000
0.0000 0.0000 7.6100
Y In Hg
7 2 2
Cartesian
0.0000 0.0000 0.0000 Y
2.0023 2.8141 2.1372 Y
2.0023 2.8141 5.4728 Y
2.0023 -2.8141 2.1372 Y
2.0023 -2.8141 5.4728 Y
4.0045 0.0000 1.9603 Y
4.0045 0.0000 5.6498 Y
1.4211 0.0000 3.8050 In
6.5879 0.0000 3.8050 In
4.0045 2.3691 0.0000 Hg
4.0045 -2.3691 0.0000 Hg
```


(2)
Compound: Zr2BeGa
Source: the Alexandria database
Functional: PBE
Structure: relaxed

## Properties
Uncorrected energy (eV per atom): -5.8792
Energy of formation from the pure elements (eV per atom): 0.083
DOS at the Fermi energy (states/eV/atom): 0.62
Space group: I-42d

```
Zr2BeGa
1.0
-3.6569 3.6569 2.7767
3.6569 -3.6569 2.7767
3.6569 3.6569 -2.7767
Zr Be Ga
4 2 2
Cartesian
5.4854 1.7259 -0.6942 Zr
1.7259 1.8285 0.6942 Zr
-1.8285 1.9310 2.0825 Zr
1.9310 1.8285 3.4709 Zr
0.0000 0.0000 0.0000 Be
0.0000 3.6569 1.3883 Be
3.6569 0.0000 1.3883 Ga
0.0000 0.0000 2.7767 Ga
```


(3)
Compound: BaY2W
Source: the Alexandria database
Functional: PBE
Structure: relaxed

## Properties
Uncorrected energy (eV per atom): -6.2039
Energy of formation from the pure elements (eV per atom): 0.747
DOS at the Fermi energy (states/eV/atom): 0.78
Space group: Cm

```
BaY2W
1.0
5.1815 -1.6475 0.0000
5.1815 1.6475 0.0000
-0.3736 0.0000 7.6390
Ba Y W
1 2 1
Cartesian
0.0000 0.0000 0.0000 Ba
5.0580 0.0000 4.4080 Y
7.7390 0.0000 2.7147 Y
2.2903 0.0000 5.2293 W
```


(4)
Compound: HfMgMoBr2
Source: the Alexandria database
Functional: PBE
Structure: relaxed

## Properties
Uncorrected energy (eV per atom): -4.3132
ΔE_f (raw) (eV per atom): 0.832
DOS at the Fermi energy (states/eV/atom): 0.67
Space group: P4/mmm

```
HfMgMoBr2
1.0
5.1436 0.0000 0.0000
0.0000 5.1436 0.0000
0.0000 0.0000 6.1627
Hf Mg Mo Br
1 1 1 2
Cartesian
0.0000 0.0000 0.0000 Hf
0.0000 0.0000 3.0813 Mg
2.5718 2.5718 3.0813 Mo
0.0000 2.5718 0.0000 Br
2.5718 0.0000 0.0000 Br
```


(5)
Compound: LaScAl
Source: the Alexandria database
Functional: PBE
Structure: relaxed

## Properties
Uncorrected energy (eV per atom): -5.2358
Energy of formation from the pure elements (eV per atom): -0.235
DOS at the Fermi energy (states/eV/atom): 0.93
Space group: C2/m

```
LaScAl
1.0
2.5222 -2.5222 0.0000
2.5222 2.5222 0.0000
-0.0132 0.0000 12.3880
La Sc Al
2 2 2
Cartesian
1.2525 0.0000 1.6294 La
3.7787 0.0000 10.7586 La
1.2522 0.0000 5.2345 Sc
3.7790 0.0000 7.1534 Sc
1.2545 0.0000 8.6676 Al
3.7767 0.0000 3.7203 Al
```


(6)
Compound: YTc3Ir
Source: the Alexandria database
Functional: PBE
Structure: relaxed

## Properties
Uncorrected energy (eV per atom): -6.6399
Energy of formation from the pure elements (eV per atom): 2.645
DOS at the Fermi energy (states/eV/atom): 1.40
Space group: Pm-3m

```
YTc3Ir
1.0
4.6485 0.0000 0.0000
0.0000 4.6485 0.0000
0.0000 0.0000 4.6485
Y Tc Ir
1 3 1
Cartesian
0.0000 0.0000 0.0000 Y
0.0000 0.0000 2.3242 Tc
0.0000 2.3242 0.0000 Tc
2.3242 0.0000 0.0000 Tc
2.3242 2.3242 2.3242 Ir
```


(7)
Compound: SrTl3Pb
Source: the Alexandria database
Functional: PBE
Structure: relaxed

## Properties
Uncorrected energy (eV per atom): -2.3355
Energy of formation from the pure elements (eV per atom): 0.162
DOS at the Fermi energy (states/eV/atom): 0.76
Space group: Pm-3m

```
SrTl3Pb
1.0
5.9789 0.0000 0.0000
0.0000 5.9789 0.0000
0.0000 0.0000 5.9789
Sr Tl Pb
1 3 1
Cartesian
0.0000 0.0000 0.0000 Sr
0.0000 2.9894 2.9894 Tl
2.9894 0.0000 2.9894 Tl
2.9894 2.9894 0.0000 Tl
2.9894 2.9894 2.9894 Pb
```


(8)
Compound: Cs3Y2NpS6
Source: the Alexandria database
Functional: PBE
Structure: relaxed

## Properties
Uncorrected energy (eV per atom): -6.0910
ΔE_f (raw) (eV per atom): -1.658
DOS at the Fermi energy (states/eV/atom): 0.75
Space group: C2/m

```
Cs3Y2NpS6
1.0
3.5821 -6.2038 0.0000
3.5821 6.2038 0.0000
-2.3880 0.0000 8.0614
Cs Y Np S
3 2 1 6
Cartesian
0.0000 0.0000 0.0000 Cs
3.5821 2.0793 0.0000 Cs
3.5821 -2.0793 0.0000 Cs
2.3881 4.1377 4.0307 Y
2.3881 -4.1377 4.0307 Y
2.3881 0.0000 4.0307 Np
1.1861 2.0811 2.5654 S
-0.0150 0.0000 5.4987 S
1.1861 -2.0811 2.5654 S
3.5902 2.0811 5.4960 S
4.7913 0.0000 2.5627 S
3.5902 -2.0811 5.4960 S
```


(9)
Compound: RbRhN3
Source: the Alexandria database
Functional: PBE
Structure: relaxed

## Properties
Uncorrected energy (eV per atom): -5.2195
ΔE_f (raw) (eV per atom): 1.440
DOS at the Fermi energy (states/eV/atom): 1.07
Space group: Pm-3m

```
RbRhN3
1.0
4.0133 0.0000 0.0000
0.0000 4.0133 0.0000
0.0000 0.0000 4.0133
Rb Rh N
1 1 3
Cartesian
0.0000 0.0000 0.0000 Rb
2.0067 2.0067 2.0067 Rh
0.0000 2.0067 2.0067 N
2.0067 0.0000 2.0067 N
2.0067 2.0067 0.0000 N
```


(10)
Compound: AlBH2
Source: the Alexandria database
Functional: PBE
Structure: relaxed

## Properties
Uncorrected energy (eV per atom): -4.2163
Space group: P1

```
AlBH2
1.0
3.7411 0.0000 0.0000
0.7196 4.9042 0.0000
0.3503 2.4448 4.2985
Al B H
2 2 4
Cartesian
0.0000 0.0000 0.0000 Al
0.7268 4.9006 2.6035 Al
2.1372 3.3249 3.3839 B
3.0270 6.4568 3.3828 B
2.5469 6.0369 2.3205 H
2.1797 3.4407 0.0534 H
2.2871 1.4494 0.0548 H
2.6210 3.7462 2.3250 H
```


(11)
Compound: Ac8ZnAg2
Source: the Alexandria database
Functional: PBE
Structure: relaxed

## Properties
Uncorrected energy (eV per atom): -3.7131
Energy of formation from the pure elements (eV per atom): -0.091
DOS at the Fermi energy (states/eV/atom): 0.98
Space group: C2/m

```
Ac8ZnAg2
1.0
9.9273 -2.8426 0.0000
9.9273 2.8426 0.0000
-2.1697 0.0000 7.2631
Ac Zn Ag
8 1 2
Cartesian
-0.0794 0.0000 2.0286 Ac
2.1608 0.0000 6.0330 Ac
5.4848 0.0000 3.7393 Ac
8.0372 0.0000 0.2963 Ac
9.6477 0.0000 6.9668 Ac
12.2001 0.0000 3.5239 Ac
15.5242 0.0000 1.2301 Ac
17.7643 0.0000 5.2345 Ac
8.8425 0.0000 3.6316 Zn
3.0776 0.0000 1.6942 Ag
14.6074 0.0000 5.5689 Ag
```


(12)
Compound: CrAs2HBr
Source: the Alexandria database
Functional: PBE
Structure: relaxed

## Properties
Uncorrected energy (eV per atom): -4.2585
DOS at the Fermi energy (states/eV/atom): 0.75
Space group: P4/mmm

```
CrAs2HBr
1.0
3.9135 0.0000 0.0000
0.0000 3.9135 0.0000
0.0000 0.0000 6.1000
Cr As H Br
1 2 1 1
Cartesian
0.0000 0.0000 0.0000 Cr
0.0000 1.9568 3.0500 As
1.9568 0.0000 3.0500 As
1.9568 1.9568 3.0500 H
1.9568 1.9568 0.0000 Br
```


Q: Among the records above, which one has the lowest uncorrected energy?
A: YTc3Ir